# Ac2ZnPd3Au12 GGA-PBE optimized geometry
data_Ac2ZnPd3Au12
_chemical_formula_sum 'Ac2 Zn1 Pd3 Au12'
_space_group_name_H-M_alt 'P 1'
_space_group_IT_number 1
_space_group_name_Hall 'P 1'
_cell_length_a 8.566
_cell_length_b 8.566
_cell_length_c 8.566
_cell_angle_alpha 61.30
_cell_angle_beta 61.30
_cell_angle_gamma 61.30
loop_
_atom_site_label
_atom_site_fract_x
_atom_site_fract_y
_atom_site_fract_z
Ac1 0.622 0.622 0.622
Ac2 0.378 0.378 0.378
Zn1 0.000 0.000 0.000
Pd1 0.500 0.000 0.000
Pd2 0.000 0.500 0.000
Pd3 0.000 0.000 0.500
Au1 0.368 0.368 0.956
Au2 0.878 0.878 0.354
Au3 0.354 0.878 0.878
Au4 0.956 0.368 0.368
Au5 0.878 0.354 0.878
Au6 0.368 0.956 0.368
Au7 0.632 0.632 0.044
Au8 0.122 0.122 0.646
Au9 0.646 0.122 0.122
Au10 0.044 0.632 0.632
Au11 0.122 0.646 0.122
Au12 0.632 0.044 0.632
# Size of the total moment, μB per formula unit: 0.0
# DOS at the Fermi energy, states/eV per atom: 0.31
# Energy of formation from the pure elements, kJ/mol of atoms: -7